VASP calculation (PBE) on a relaxed structure of Zn8PtAu2.

Lattice parameters (Å, degrees): 4.486 6.955 7.153 60.91 78.98 66.84
Element x y z (fractional)
1 Zn 0.856 0.096 0.213
2 Zn 0.856 0.309 0.787
3 Zn 0.304 0.401 0.000
4 Zn 0.500 0.795 0.409
5 Zn 0.500 0.205 0.591
6 Zn 0.696 0.599 0.000
7 Zn 0.144 0.691 0.213
8 Zn 0.144 0.904 0.787
9 Pt 0.500 0.000 0.000
10 Au 0.000 0.306 0.388
11 Au 0.000 0.694 0.612

Output
calculated formation energy = -1.72 eV per formula unit
polymorph energy (0 for the lowest one) = 63 meV/atom
VASP energy = -2.23 eV/atom
volume = 179.3 Å³/f.u.
space-group type = No. 12
size of the total moment = 0.00 μB/atom



VASP calculation (PBE) on a relaxed structure of ZnPt2Au.

Lattice parameters (Å, degrees): 5.436 5.436 5.436 149.09 129.02 60.82
Element x y z (fractional)
1 Au 0.262 0.762 0.500
2 Pt 0.996 0.996 0.000
3 Pt 0.737 0.237 0.500
4 Zn 0.505 0.505 0.000

Output
calculated formation energy = -0.74 eV per formula unit
VASP energy = -4.34 eV/atom
volume = 63.6 Å³/f.u.
space-group type = No. 44
size of the total moment = 0.00 μB/atom



VASP calculation (PBE) on a relaxed structure of Zn3PtAu.

Lattice parameters (Å, degrees): 4.799 4.799 4.799 90.00 90.00 90.00
Element x y z (fractional)
1 Zn 0.000 0.500 0.000
2 Zn 0.000 0.000 0.500
3 Zn 0.500 0.000 0.000
4 Au 0.500 0.500 0.500
5 Pt 0.000 0.000 0.000

Output
calculated formation energy = 0.62 eV per formula unit
polymorph energy (0 for the lowest one) = 344 meV/atom
VASP energy = -2.50 eV/atom
volume = 110.6 Å³/f.u.
space-group type = No. 221
size of the total moment = 0.00 μB/atom



VASP calculation (PBE) on a relaxed structure of Zn12PtAu6.

Lattice parameters (Å, degrees): 6.780 6.780 6.780 91.64 91.64 91.64
Element x y z (fractional)
1 Zn 0.462 0.208 0.559
2 Zn 0.208 0.559 0.462
3 Zn 0.559 0.462 0.208
4 Zn 0.538 0.792 0.441
5 Zn 0.792 0.441 0.538
6 Zn 0.441 0.538 0.792
7 Zn 0.864 0.959 0.635
8 Zn 0.365 0.136 0.041
9 Zn 0.041 0.365 0.136
10 Zn 0.136 0.041 0.365
11 Zn 0.635 0.864 0.959
12 Zn 0.959 0.635 0.864
13 Pt 0.000 0.000 0.000
14 Au 0.117 0.295 0.713
15 Au 0.705 0.287 0.883
16 Au 0.287 0.883 0.705
17 Au 0.883 0.705 0.287
18 Au 0.295 0.713 0.117
19 Au 0.713 0.117 0.295

Output
calculated formation energy = -3.43 eV per formula unit
VASP energy = -2.34 eV/atom
volume = 311.3 Å³/f.u.
space-group type = No. 148
size of the total moment = 0.00 μB/atom



VASP calculation (PBE) on a relaxed structure of ZnPt2Au.

Lattice parameters (Å, degrees): 4.745 4.745 2.924 90.00 90.00 105.63
Element x y z (fractional)
1 Zn 0.500 0.000 0.500
2 Au 0.000 0.500 0.500
3 Pt 0.000 0.000 0.000
4 Pt 0.500 0.500 0.000

Output
calculated formation energy = -0.96 eV per formula unit
VASP energy = -4.40 eV/atom
volume = 63.4 Å³/f.u.
space-group type = No. 65
size of the total moment = 0.00 μB/atom



VASP calculation (PBE) on a relaxed structure of ZnPt2Au.

Lattice parameters (Å, degrees): 2.869 2.869 7.638 90.00 90.00 90.00
Element x y z (fractional)
1 Zn 0.500 0.500 0.250
2 Au 0.500 0.500 0.750
3 Pt 0.000 0.000 0.023
4 Pt 0.000 0.000 0.477

Output
calculated formation energy = -1.09 eV per formula unit
VASP energy = -4.43 eV/atom
volume = 62.9 Å³/f.u.
space-group type = No. 123
size of the total moment = 0.00 μB/atom



VASP calculation (PBE) on a relaxed structure of Zn8PtAu2.

Lattice parameters (Å, degrees): 4.397 4.735 9.087 104.11 104.00 90.00
Element x y z (fractional)
1 Zn 0.575 0.556 0.150
2 Zn 0.342 0.899 0.683
3 Zn 0.248 0.339 0.496
4 Zn 0.076 0.181 0.152
5 Zn 0.752 0.661 0.504
6 Zn 0.658 0.101 0.317
7 Zn 0.425 0.444 0.850
8 Zn 0.924 0.819 0.848
9 Pt 0.500 0.000 0.000
10 Au 0.170 0.768 0.339
11 Au 0.830 0.232 0.661

Output
calculated formation energy = -2.41 eV per formula unit
polymorph energy (0 for the lowest one) = 0 meV/atom
VASP energy = -2.29 eV/atom
volume = 177.6 Å³/f.u.
space-group type = No. 12
size of the total moment = 0.00 μB/atom



VASP calculation (PBE) on a relaxed structure of ZnPt2Au.

Lattice parameters (Å, degrees): 4.020 4.020 3.908 90.00 90.00 90.00
Element x y z (fractional)
1 Au 0.000 0.500 0.500
2 Pt 0.000 0.000 0.000
3 Pt 0.500 0.500 0.000
4 Zn 0.500 0.000 0.500

Output
calculated formation energy = -1.03 eV per formula unit
VASP energy = -4.41 eV/atom
volume = 63.2 Å³/f.u.
space-group type = No. 123
size of the total moment = 0.00 μB/atom



VASP calculation (PBE) on a relaxed structure of Zn3Pt2Au2.

Lattice parameters (Å, degrees): 4.602 4.595 7.169 102.71 92.44 126.19
Element x y z (fractional)
1 Zn 0.000 0.000 0.000
2 Zn 0.507 0.196 0.705
3 Zn 0.493 0.804 0.295
4 Pt 0.214 0.156 0.371
5 Pt 0.786 0.844 0.629
6 Au 0.747 0.388 0.135
7 Au 0.253 0.612 0.865

Output
calculated formation energy = -2.11 eV per formula unit
VASP energy = -3.51 eV/atom
volume = 116.5 Å³/f.u.
space-group type = No. 2
size of the total moment = 0.00 μB/atom



VASP calculation (PBE) on a relaxed structure of Zn6Pt3Au.

Lattice parameters (Å, degrees): 6.900 6.854 6.875 90.00 101.84 90.00
Element x y z (fractional)
1 Zn 0.678 0.205 0.912
2 Zn 0.654 0.104 0.550
3 Zn 0.778 0.368 0.298
4 Zn 0.222 0.632 0.702
5 Zn 0.346 0.896 0.450
6 Zn 0.322 0.795 0.088
7 Zn 0.178 0.295 0.412
8 Zn 0.154 0.396 0.050
9 Zn 0.278 0.132 0.798
10 Zn 0.722 0.868 0.202
11 Zn 0.846 0.604 0.950
12 Zn 0.822 0.705 0.588
13 Pt 0.558 0.852 0.805
14 Pt 0.500 0.500 0.000
15 Pt 0.442 0.148 0.195
16 Pt 0.058 0.648 0.305
17 Pt 0.000 0.000 0.500
18 Pt 0.942 0.352 0.695
19 Au 0.500 0.500 0.500
20 Au 0.000 0.000 0.000

Output
calculated formation energy = -3.14 eV per formula unit
polymorph energy (0 for the lowest one) = 82 meV/atom
VASP energy = -3.22 eV/atom
volume = 159.1 Å³/f.u.
space-group type = No. 14
size of the total moment = 0.00 μB/atom



VASP calculation (PBE) on a relaxed structure of Zn3PtAu.

Lattice parameters (Å, degrees): 4.819 5.200 7.681 109.78 90.06 89.83
Element x y z (fractional)
1 Zn 0.751 0.953 0.385
2 Zn 0.749 0.432 0.385
3 Zn 0.251 0.568 0.615
4 Zn 0.249 0.047 0.615
5 Zn 0.000 0.000 0.000
6 Zn 0.500 0.000 0.000
7 Pt 0.750 0.841 0.682
8 Pt 0.250 0.159 0.318
9 Au 0.750 0.539 0.079
10 Au 0.250 0.461 0.921

Output
calculated formation energy = -0.69 eV per formula unit
polymorph energy (0 for the lowest one) = 82 meV/atom
VASP energy = -2.77 eV/atom
volume = 90.6 Å³/f.u.
space-group type = No. 15
size of the total moment = 0.00 μB/atom



VASP calculation (PBE) on a relaxed structure of ZnPt3Au.

Lattice parameters (Å, degrees): 5.377 7.329 8.935 90.00 90.00 90.00
Element x y z (fractional)
1 Zn 0.603 0.250 0.482
2 Zn 0.897 0.750 0.982
3 Zn 0.397 0.750 0.518
4 Zn 0.103 0.250 0.018
5 Pt 0.164 0.930 0.779
6 Pt 0.336 0.430 0.279
7 Pt 0.336 0.070 0.279
8 Pt 0.836 0.430 0.221
9 Pt 0.836 0.070 0.221
10 Pt 0.664 0.570 0.721
11 Pt 0.664 0.930 0.721
12 Pt 0.164 0.570 0.779
13 Pt 0.415 0.250 0.752
14 Pt 0.085 0.750 0.252
15 Pt 0.585 0.750 0.248
16 Pt 0.915 0.250 0.748
17 Au 0.000 0.000 0.500
18 Au 0.500 0.500 0.000
19 Au 0.500 0.000 0.000
20 Au 0.000 0.500 0.500

Output
calculated formation energy = -0.28 eV per formula unit
polymorph energy (0 for the lowest one) = 0 meV/atom
VASP energy = -4.59 eV/atom
volume = 88.0 Å³/f.u.
space-group type = No. 62
size of the total moment = 0.00 μB/atom



VASP calculation (PBE) on a relaxed structure of Zn2PtAu6.

Lattice parameters (Å, degrees): 4.831 4.553 8.425 98.21 90.00 122.05
Element x y z (fractional)
1 Zn 0.678 0.355 0.932
2 Zn 0.322 0.645 0.068
3 Pt 0.000 0.000 0.500
4 Au 0.025 0.049 0.841
5 Au 0.649 0.299 0.264
6 Au 0.351 0.701 0.736
7 Au 0.675 0.350 0.611
8 Au 0.325 0.650 0.389
9 Au 0.975 0.951 0.159

Output
calculated formation energy = -0.54 eV per formula unit
VASP energy = -3.20 eV/atom
volume = 154.8 Å³/f.u.
space-group type = No. 12
size of the total moment = 0.00 μB/atom



VASP calculation (PBE) on a relaxed structure of Zn2Pt5Au.

Lattice parameters (Å, degrees): 4.006 5.570 11.101 90.00 90.00 90.00
Element x y z (fractional)
1 Zn 0.500 0.252 0.627
2 Zn 0.500 0.748 0.373
3 Zn 0.500 0.248 0.127
4 Zn 0.500 0.752 0.873
5 Pt 0.000 0.000 0.000
6 Pt 0.000 0.500 0.500
7 Pt 0.000 0.494 0.749
8 Pt 0.000 0.506 0.251
9 Pt 0.000 0.006 0.249
10 Pt 0.000 0.994 0.751
11 Pt 0.500 0.245 0.872
12 Pt 0.500 0.755 0.128
13 Pt 0.500 0.255 0.372
14 Pt 0.500 0.745 0.628
15 Au 0.000 0.000 0.500
16 Au 0.000 0.500 0.000

Output
calculated formation energy = -2.36 eV per formula unit
VASP energy = -4.80 eV/atom
volume = 123.8 Å³/f.u.
space-group type = No. 55
size of the total moment = 0.00 μB/atom



VASP calculation (PBE) on a relaxed structure of Zn8Pt3Au.

Lattice parameters (Å, degrees): 7.653 7.460 7.654 45.53 111.46 134.47
Element x y z (fractional)
1 Zn 0.137 0.000 0.374
2 Zn 0.394 0.514 0.606
3 Zn 0.880 0.486 0.120
4 Zn 0.626 0.000 0.863
5 Zn 0.863 0.000 0.626
6 Zn 0.606 0.486 0.394
7 Zn 0.120 0.514 0.880
8 Zn 0.374 0.000 0.137
9 Pt 0.750 0.500 0.750
10 Pt 0.250 0.500 0.250
11 Pt 0.500 0.000 0.500
12 Au 0.000 0.000 0.000

Output
calculated formation energy = -3.81 eV per formula unit
VASP energy = -2.95 eV/atom
volume = 215.7 Å³/f.u.
space-group type = No. 69
size of the total moment = 0.00 μB/atom



VASP calculation (PBE) on a relaxed structure of Zn4PtAu.

Lattice parameters (Å, degrees): 2.910 4.811 7.144 98.17 78.25 72.40
Element x y z (fractional)
1 Zn 0.841 0.492 0.826
2 Zn 0.324 0.011 0.342
3 Zn 0.159 0.508 0.174
4 Zn 0.676 0.989 0.658
5 Pt 0.500 0.500 0.500
6 Au 0.000 0.000 0.000

Output
calculated formation energy = -1.76 eV per formula unit
polymorph energy (0 for the lowest one) = 0 meV/atom
VASP energy = -2.70 eV/atom
volume = 91.1 Å³/f.u.
space-group type = No. 12
size of the total moment = 0.00 μB/atom



VASP calculation (PBE) on a relaxed structure of ZnPt2Au.

Lattice parameters (Å, degrees): 4.596 4.596 3.016 90.00 90.00 90.00
Element x y z (fractional)
1 Au 0.000 0.500 0.500
2 Pt 0.000 0.000 0.000
3 Pt 0.500 0.500 0.000
4 Zn 0.500 0.000 0.500

Output
calculated formation energy = -0.78 eV per formula unit
VASP energy = -4.35 eV/atom
volume = 63.7 Å³/f.u.
space-group type = No. 123
size of the total moment = 0.00 μB/atom



VASP calculation (PBE) on a relaxed structure of Zn8Pt2Au.

Lattice parameters (Å, degrees): 4.296 7.878 6.522 52.85 89.98 89.96
Element x y z (fractional)
1 Zn 0.999 0.035 0.268
2 Zn 0.999 0.303 0.732
3 Zn 0.499 0.337 0.000
4 Zn 0.500 0.752 0.496
5 Zn 0.500 0.248 0.504
6 Zn 0.501 0.663 0.000
7 Zn 0.001 0.697 0.268
8 Zn 0.001 0.965 0.732
9 Pt 0.000 0.367 0.265
10 Pt 0.000 0.633 0.735
11 Au 0.500 0.000 0.000

Output
calculated formation energy = -3.08 eV per formula unit
polymorph energy (0 for the lowest one) = 32 meV/atom
VASP energy = -2.60 eV/atom
volume = 175.9 Å³/f.u.
space-group type = No. 65
size of the total moment = 0.00 μB/atom



VASP calculation (PBE) on a relaxed structure of Zn4PtAu2.

Lattice parameters (Å, degrees): 4.367 5.349 5.349 108.64 90.00 90.00
Element x y z (fractional)
1 Zn 0.000 0.775 0.775
2 Zn 0.000 0.225 0.225
3 Zn 0.500 0.000 0.500
4 Zn 0.500 0.500 0.000
5 Pt 0.500 0.500 0.500
6 Au 0.000 0.739 0.261
7 Au 0.000 0.261 0.739

Output
calculated formation energy = -1.87 eV per formula unit
polymorph energy (0 for the lowest one) = 0 meV/atom
VASP energy = -2.79 eV/atom
volume = 118.4 Å³/f.u.
space-group type = No. 65
size of the total moment = 0.00 μB/atom



VASP calculation (PBE) on a relaxed structure of Zn7Pt2Au2.

Lattice parameters (Å, degrees): 5.452 6.830 5.452 89.99 94.09 90.01
Element x y z (fractional)
1 Zn 0.000 0.244 0.500
2 Zn 0.500 0.756 0.000
3 Zn 0.000 0.756 0.500
4 Zn 0.500 0.244 0.000
5 Zn 0.000 0.000 0.000
6 Zn 0.500 0.693 0.500
7 Zn 0.500 0.307 0.500
8 Pt 0.686 0.000 0.314
9 Pt 0.314 0.000 0.686
10 Au 0.814 0.500 0.814
11 Au 0.186 0.500 0.186

Output
calculated formation energy = -2.18 eV per formula unit
VASP energy = -2.70 eV/atom
volume = 202.5 Å³/f.u.
space-group type = No. 65
size of the total moment = 0.00 μB/atom



Number 1: calculated density 10.3 g/cm³. Number 2: calculated density 17.0 g/cm³. Number 3: calculated density 8.8 g/cm³. Number 4: calculated density 11.5 g/cm³. Number 5: calculated density 17.1 g/cm³. Number 6: calculated density 17.2 g/cm³. Number 7: calculated density 10.4 g/cm³. Number 8: calculated density 17.2 g/cm³. Number 9: calculated density 14.0 g/cm³. Number 10: calculated density 12.3 g/cm³. Number 11: calculated density 10.8 g/cm³. Number 12: calculated density 16.0 g/cm³. Number 13: calculated density 16.2 g/cm³. Number 14: calculated density 17.5 g/cm³. Number 15: calculated density 10.0 g/cm³. Number 16: calculated density 11.9 g/cm³. Number 17: calculated density 17.0 g/cm³. Number 18: calculated density 10.5 g/cm³. Number 19: calculated density 11.9 g/cm³. Number 20: calculated density 10.2 g/cm³.